The following is a PBE+U calculation of a relaxed structure of PmMnGa2O6, from Alexandria.

The structure in extended XYZ format:
```
10
Lattice="-2.623 4.044 2.734 0.196 0.292 5.235 2.821 4.413 2.563" Properties=species:S:1:pos:R:3 pbc="T T T"
Pm -0.122 6.186 7.878
Mn -0.598 1.534 2.627
Ga -0.093 4.090 5.288
Ga 0.070 8.230 5.295
O -1.025 3.727 3.640
O 0.184 2.347 6.045
O -1.556 4.908 6.304
O 1.390 4.959 6.666
O 0.328 6.368 4.798
O 1.634 4.044 4.192
```

Values from the calculation:
The calculation puts the total energy at -6.900 eV per atom. As for the space group: P1.